P | The following is a DFT calculation (PBE) of an optimized crystal structure of Zr2Ag2Hg.

Cell lengths 8.395, 8.395, 3.083 Å; angles 90.00, 90.00, 90.00 degrees
Sites, in units of the cell vectors:
Zr1 0.171 0.329 0.000
Zr2 0.329 0.829 0.000
Zr3 0.671 0.171 0.000
Zr4 0.829 0.671 0.000
Ag1 0.123 0.623 0.500
Ag2 0.377 0.123 0.500
Ag3 0.623 0.877 0.500
Ag4 0.877 0.377 0.500
Hg1 0.000 0.000 0.000
Hg2 0.500 0.500 0.000

Output
Its space-group type is P4/mbm, No. 127. The value obtained for the calculated density is 9.152 g/cm³. For the volume, the calculation gives 217.3 Å³/cell. Its magnetic moment is 0.00 μB per formula unit.

Q | The following is a DFT calculation (PBE) of an optimized crystal structure of Zr2Ag2Hg.

Cell lengths 8.167, 8.167, 3.127 Å; angles 90.00, 90.00, 90.00 degrees
Sites, in units of the cell vectors:
Zr1 0.175 0.325 0.000
Zr2 0.325 0.825 0.000
Zr3 0.675 0.175 0.000
Zr4 0.825 0.675 0.000
Ag1 0.122 0.622 0.500
Ag2 0.378 0.122 0.500
Ag3 0.622 0.878 0.500
Ag4 0.878 0.378 0.500
Hg1 0.000 0.000 0.500
Hg2 0.500 0.500 0.500

Output
Its space-group type is P4/mbm, No. 127. The value obtained for the calculated density is 9.534 g/cm³. For the volume, the calculation gives 208.6 Å³/cell. Its magnetic moment is 0.00 μB per formula unit.

R | The following is a DFT calculation (PBE) of an optimized crystal structure of Zr2Ag2Hg.

Cell lengths 7.647, 7.647, 2.952 Å; angles 90.00, 90.00, 144.46 degrees
Sites, in units of the cell vectors:
Zr1 0.113 0.887 0.000
Zr2 0.887 0.113 0.000
Ag1 0.300 0.700 0.500
Ag2 0.700 0.300 0.500
Hg1 0.500 0.500 0.500

Output
Its space-group type is Cmmm, No. 65. The value obtained for the calculated density is 9.909 g/cm³. For the volume, the calculation gives 100.3 Å³/cell. Its magnetic moment is 0.00 μB per formula unit.

Result of the stability comparison: R is the most stable of them.

P | The following is a DFT calculation (PBE) of an optimized crystal structure of Ho3Ag2.

Cell lengths 3.592, 3.592, 19.573 Å; angles 90.00, 90.00, 90.00 degrees
Sites, in units of the cell vectors:
Ho1 0.000 0.000 0.000
Ho2 0.000 0.000 0.188
Ho3 0.000 0.000 0.375
Ho4 0.000 0.000 0.625
Ho5 0.000 0.000 0.812
Ho6 0.500 0.500 0.500
Ag1 0.500 0.500 0.093
Ag2 0.500 0.500 0.281
Ag3 0.500 0.500 0.719
Ag4 0.500 0.500 0.907

Output
Its space-group type is P4/mmm, No. 123. The value obtained for the calculated density is 9.346 g/cm³. For the volume, the calculation gives 252.5 Å³/cell. Its magnetic moment is 0.00 μB per formula unit.

Q | The following is a DFT calculation (PBE) of an optimized crystal structure of Ho3Ag2.

Cell lengths 7.985, 7.985, 10.659 Å; angles 90.01, 90.01, 36.84 degrees
Sites, in units of the cell vectors:
Ho1 0.000 0.000 0.000
Ho2 0.002 0.002 0.336
Ho3 0.331 0.331 0.997
Ho4 0.333 0.333 0.332
Ho5 0.336 0.336 0.668
Ho6 0.664 0.664 0.332
Ho7 0.667 0.667 0.668
Ho8 0.669 0.669 0.003
Ho9 0.998 0.998 0.664
Ag1 0.166 0.166 0.833
Ag2 0.167 0.167 0.501
Ag3 0.499 0.499 0.166
Ag4 0.501 0.501 0.834
Ag5 0.833 0.833 0.499
Ag6 0.834 0.834 0.167

Output
Its space-group type is C2/m, No. 12. The value obtained for the calculated density is 8.687 g/cm³. For the volume, the calculation gives 407.5 Å³/cell. Its magnetic moment is 0.00 μB per formula unit.

Result of the stability comparison: P is the most stable of them.

P | The following is a DFT calculation (PBE) of an optimized crystal structure of Ho2Ag3.

Cell lengths 7.757, 7.757, 7.757 Å; angles 130.64, 66.73, 138.06 degrees
Sites, in units of the cell vectors:
Ho1 0.173 0.214 0.386
Ho2 0.327 0.714 0.041
Ho3 0.673 0.286 0.959
Ho4 0.827 0.786 0.614
Ag1 0.089 0.645 0.734
Ag2 0.250 0.250 0.000
Ag3 0.411 0.145 0.557
Ag4 0.589 0.855 0.443
Ag5 0.750 0.750 0.000
Ag6 0.911 0.355 0.266

Output
Its space-group type is Ibam, No. 72. The value obtained for the calculated density is 9.315 g/cm³. For the volume, the calculation gives 233.0 Å³/cell. Its magnetic moment is 0.00 μB per formula unit.

Q | The following is a DFT calculation (PBE) of an optimized crystal structure of Ho2Ag3.

Cell lengths 8.779, 8.779, 8.779 Å; angles 155.97, 155.97, 34.25 degrees
Sites, in units of the cell vectors:
Ho1 0.108 0.108 0.000
Ho2 0.892 0.892 0.000
Ag1 0.294 0.294 0.000
Ag2 0.500 0.500 0.000
Ag3 0.706 0.706 0.000

Output
Its space-group type is I4/mmm, No. 139. The value obtained for the calculated density is 9.680 g/cm³. For the volume, the calculation gives 112.1 Å³/cell. Its magnetic moment is 0.00 μB per formula unit.

Result of the stability comparison: Q is the most stable of them.

P | The following is a DFT calculation (PBE) of an optimized crystal structure of Ho3In3Ag2.

Cell lengths 7.782, 7.782, 3.754 Å; angles 90.00, 90.00, 120.00 degrees
Sites, in units of the cell vectors:
Ho1 0.000 0.597 0.000
Ho2 0.403 0.403 0.000
Ho3 0.597 0.000 0.000
In1 0.000 0.239 0.500
In2 0.239 0.000 0.500
In3 0.761 0.761 0.500
Ag1 0.333 0.667 0.500
Ag2 0.667 0.333 0.500

Output
Its space-group type is P-62m, No. 189. The value obtained for the calculated density is 8.896 g/cm³. For the volume, the calculation gives 196.9 Å³/cell. Its magnetic moment is 0.00 μB per formula unit.

Q | The following is a DFT calculation (PBE) of an optimized crystal structure of Ho3In3Ag2.

Cell lengths 9.230, 9.230, 4.814 Å; angles 105.05, 105.05, 28.82 degrees
Sites, in units of the cell vectors:
Ho1 0.000 0.000 0.000
Ho2 0.141 0.141 0.641
Ho3 0.859 0.859 0.359
In1 0.361 0.361 0.861
In2 0.500 0.500 0.500
In3 0.639 0.639 0.139
Ag1 0.246 0.246 0.245
Ag2 0.754 0.754 0.755

Output
Its space-group type is C2/m, No. 12. The value obtained for the calculated density is 9.196 g/cm³. For the volume, the calculation gives 190.5 Å³/cell. Its magnetic moment is 0.00 μB per formula unit.

Result of the stability comparison: P is the most stable of them.